A plane-wave DFT calculation with PBE was carried out for crystalline Nd8SmTm6 at its relaxed geometry.

Output
Density of states at the Fermi level, states/eV/f.u.: 24.54
E above lowest polymorph, eV/atom: 0.018
Crystal system: trigonal
Formation energy, kJ/mol of atoms: 18
Magnetization, μB per formula unit: 0.00

a = 9.4537 Å, b = 9.4537 Å, c = 6.4997 Å
α = 90.00°, β = 90.00°, γ = 120.00°
With the nearest neighbours (Å) after each atom.
Space group P-3 (No. 147)
Unique sites:
Nd 0.0411 0.7537 0.3276 [6 per cell]  3 Nd 3.27-3.39, 1 Sm 3.32, 4 Tm 3.35-3.56
Nd 0.3333 0.6667 0.3727 [2 per cell]  3 Nd 3.27
Sm 0.0000 0.0000 0.0000 [1 per cell]  6 Nd 3.32
Tm 0.0976 0.6538 0.8370 [6 per cell]  1 Tm 3.31, 4 Nd 3.35-3.56